[1]
A geometry-optimized LiCdBiPd structure. Source: Alexandria, functional PBE.

Results
total energy	-3.31	eV/atom
symmetry	F-43m, No. 216
calculated formation energy	-334	meV per atom
DOS(E_F)	0.34	states/eV per atom

Cell: 4.8180 4.8180 4.8180 Å, 60.00 60.00 60.00°
Last column: nearest neighbours and their distance in Å.
Positions (direct):
1 Li 0.0000 0.0000 0.0000  4 Bi 2.95, 4 Cd 2.95
2 Cd 0.2500 0.2500 0.2500  4 Pd 2.95, 4 Li 2.95
3 Bi 0.7500 0.7500 0.7500  4 Pd 2.95, 4 Li 2.95
4 Pd 0.5000 0.5000 0.5000  4 Cd 2.95, 4 Bi 2.95



[2]
A geometry-optimized La2TmAg5 structure. Source: Alexandria, functional PBE.

Results
total energy	-3.78	eV/atom
symmetry	I4/mmm, No. 139
calculated formation energy	-203	meV per atom
DOS(E_F)	0.88	states/eV per atom

Cell: 8.1710 8.1710 8.1710 Å, 143.27 143.27 52.93°
Last column: nearest neighbours and their distance in Å.
Positions (direct):
1 La 0.2291 0.2291 0.0000  5 Ag 3.13-3.35
2 La 0.7709 0.7709 0.0000  5 Ag 3.13-3.35
3 Tm 0.5000 0.5000 0.0000  8 Ag 3.01
4 Ag 0.0000 0.0000 0.0000  8 Ag 3.01, 2 La 3.35
5 Ag 0.1070 0.6070 0.5000  2 Tm 3.01, 3 Ag 3.01-3.13, 2 La 3.13
6 Ag 0.3930 0.8930 0.5000  2 Tm 3.01, 3 Ag 3.01-3.13, 2 La 3.13
7 Ag 0.6070 0.1070 0.5000  2 Tm 3.01, 3 Ag 3.01-3.13, 2 La 3.13
8 Ag 0.8930 0.3930 0.5000  2 Tm 3.01, 3 Ag 3.01-3.13, 2 La 3.13



[3]
A geometry-optimized Tb4AuI5 structure. Source: Alexandria, functional PBE.

Results
total energy	-4.06	eV/atom
symmetry	C2/m, No. 12
DOS(E_F)	0.31	states/eV per atom
formation energy without anion corrections	-1110	meV/atom

Cell: 9.9059 9.9059 9.0061 Å, 102.20 102.20 24.47°
Last column: nearest neighbours and their distance in Å.
Positions (direct):
1 Tb 0.0010 0.0010 0.2147  2 Au 2.85, 1 I 3.19
2 Tb 0.3515 0.3515 0.9242  1 Au 2.81, 2 I 3.14
3 Tb 0.6485 0.6485 0.0758  1 Au 2.81, 2 I 3.14
4 Tb 0.9990 0.9990 0.7853  2 Au 2.85, 1 I 3.19
5 Au 0.5000 0.5000 0.0000  6 Tb 2.81-2.85
6 I 0.1683 0.1683 0.3404  3 Tb 3.14-3.19
7 I 0.1756 0.1756 0.8295  4 Tb 3.18-3.36
8 I 0.5000 0.5000 0.5000  4 Tb 3.32
9 I 0.8244 0.8244 0.1705  4 Tb 3.18-3.36
10 I 0.8317 0.8317 0.6596  3 Tb 3.14-3.19



[4]
A geometry-optimized Y3Al2Ni structure. Source: Alexandria, functional PBE.

Results
total energy	-5.23	eV/atom
symmetry	P6/mmm, No. 191
calculated formation energy	213	meV per atom
E above lowest polymorph	0.6184	eV per atom
DOS(E_F)	1.14	states/eV per atom

Cell: 9.8427 9.8427 5.5597 Å, 90.00 90.00 120.00°
Last column: nearest neighbours and their distance in Å.
Positions (direct):
1 Y 0.0000 0.3315 0.0000  4 Al 3.24, 5 Y 3.24-3.32, 2 Ni 3.29
2 Y 0.0000 0.5000 0.5000  4 Al 3.00, 4 Y 3.24
3 Y 0.0000 0.6685 0.0000  4 Al 3.24, 5 Y 3.24-3.32, 2 Ni 3.29
4 Y 0.3315 0.0000 0.0000  4 Al 3.24, 5 Y 3.24-3.32, 2 Ni 3.29
5 Y 0.3315 0.3315 0.0000  4 Al 3.24, 5 Y 3.24-3.32, 2 Ni 3.29
6 Y 0.5000 0.0000 0.5000  4 Al 3.00, 4 Y 3.24
7 Y 0.5000 0.5000 0.5000  4 Al 3.00, 4 Y 3.24
8 Y 0.6685 0.0000 0.0000  4 Al 3.24, 5 Y 3.24-3.32, 2 Ni 3.29
9 Y 0.6685 0.6685 0.0000  4 Al 3.24, 5 Y 3.24-3.32, 2 Ni 3.29
10 Al 0.1489 0.2977 0.5000  2 Al 2.54, 1 Ni 2.54
11 Al 0.1489 0.8511 0.5000  1 Ni 2.54, 2 Al 2.54
12 Al 0.2977 0.1489 0.5000  1 Ni 2.54, 2 Al 2.54
13 Al 0.7023 0.8511 0.5000  2 Al 2.54, 1 Ni 2.54
14 Al 0.8511 0.1489 0.5000  2 Al 2.54, 1 Ni 2.54
15 Al 0.8511 0.7023 0.5000  2 Al 2.54, 1 Ni 2.54
16 Ni 0.0000 0.0000 0.5000  6 Al 2.54
17 Ni 0.3333 0.6667 0.0000  6 Y 3.29
18 Ni 0.6667 0.3333 0.0000  6 Y 3.29



[5]
A geometry-optimized Mg5In4Pb2 structure. Source: Alexandria, functional PBE.

Results
total energy	-2.45	eV/atom
symmetry	Pbam, No. 55
calculated formation energy	-55	meV per atom
DOS(E_F)	0.37	states/eV per atom

Cell: 7.5912 22.1306 3.2883 Å, 90.00 90.00 90.00°
Last column: nearest neighbours and their distance in Å.
Positions (direct):
1 Mg 0.0000 0.0000 0.0000  8 In 3.12-3.28, 4 Mg 3.24-3.29
2 Mg 0.1509 0.4159 0.0000  6 In 3.09-3.25, 4 Mg 3.23-3.29, 2 Pb 3.43
3 Mg 0.1993 0.6673 0.0000  4 In 3.12-3.22, 4 Pb 3.22-3.25, 3 Mg 3.23-3.29
4 Mg 0.3007 0.1673 0.0000  4 In 3.12-3.22, 4 Pb 3.22-3.25, 3 Mg 3.23-3.29
5 Mg 0.3491 0.9159 0.0000  6 In 3.09-3.25, 4 Mg 3.23-3.29, 2 Pb 3.43
6 Mg 0.5000 0.5000 0.0000  8 In 3.12-3.28, 4 Mg 3.24-3.29
7 Mg 0.6509 0.0841 0.0000  6 In 3.09-3.25, 4 Mg 3.23-3.29, 2 Pb 3.43
8 Mg 0.6993 0.8327 0.0000  4 In 3.12-3.22, 4 Pb 3.22-3.25, 3 Mg 3.23-3.29
9 Mg 0.8007 0.3327 0.0000  4 In 3.12-3.22, 4 Pb 3.22-3.25, 3 Mg 3.23-3.29
10 Mg 0.8491 0.5841 0.0000  6 In 3.09-3.25, 4 Mg 3.23-3.29, 2 Pb 3.43
11 In 0.0291 0.8721 0.5000  6 Mg 3.09-3.28, 3 In 3.29, 1 Pb 3.29
12 In 0.1740 0.5426 0.5000  8 Mg 3.10-3.25, 4 In 3.25-3.29
13 In 0.3260 0.0426 0.5000  8 Mg 3.10-3.25, 4 In 3.25-3.29
14 In 0.4709 0.3721 0.5000  6 Mg 3.09-3.28, 3 In 3.29, 1 Pb 3.29
15 In 0.5291 0.6279 0.5000  6 Mg 3.09-3.28, 3 In 3.29, 1 Pb 3.29
16 In 0.6740 0.9574 0.5000  8 Mg 3.10-3.25, 4 In 3.25-3.29
17 In 0.8260 0.4574 0.5000  8 Mg 3.10-3.25, 4 In 3.25-3.29
18 In 0.9709 0.1279 0.5000  6 Mg 3.09-3.28, 3 In 3.29, 1 Pb 3.29
19 Pb 0.1306 0.2798 0.5000  6 Mg 3.22-3.43, 2 Pb 3.29, 2 In 3.29-3.57
20 Pb 0.3694 0.7798 0.5000  6 Mg 3.22-3.43, 2 Pb 3.29, 2 In 3.29-3.57
21 Pb 0.6306 0.2202 0.5000  6 Mg 3.22-3.43, 2 Pb 3.29, 2 In 3.29-3.57
22 Pb 0.8694 0.7202 0.5000  6 Mg 3.22-3.43, 2 Pb 3.29, 2 In 3.29-3.57



[6]
A geometry-optimized BeGeO2 structure. Source: Alexandria, functional PBE.

Results
total energy	-4.86	eV/atom
symmetry	Fm-3m, No. 225
E above lowest polymorph	1.2163	eV per atom
DOS(E_F)	0.03	states/eV per atom
formation energy without anion corrections	-300	meV/atom

Cell: 3.8333 3.8333 3.8333 Å, 60.00 60.00 60.00°
Last column: nearest neighbours and their distance in Å.
Positions (direct):
1 Be 0.0000 0.0000 0.0000  8 O 2.35
2 Ge 0.5000 0.5000 0.5000  8 O 2.35
3 O 0.2500 0.2500 0.2500  4 Ge 2.35, 4 Be 2.35
4 O 0.7500 0.7500 0.7500  4 Ge 2.35, 4 Be 2.35



Question: Number 5 is which compound?
Answer: Mg5In4Pb2



Question: Which value of total energy does entry 1 give?
Answer: -3.31 eV/atom